No. 1
## SmMg2Au3 (PBE-GGA)

Data for an optimized crystal structure of SmMg2Au3.

a b c (Å): 4.7446 4.7446 12.8121
angles (deg): 90.00 90.00 120.00
Element x y z (fractional)
Au  0.0000  0.0000  0.2158
Mg  0.0000  0.0000  0.0000
Mg  0.0000  0.0000  0.5000
Au  0.0000  0.0000  0.7842
Au  0.3333  0.6667  0.9231
Au  0.6667  0.3333  0.5631
Mg  0.3333  0.6667  0.1497
Mg  0.6667  0.3333  0.8503
Sm  0.6667  0.3333  0.3239
Sm  0.3333  0.6667  0.6761
Au  0.3333  0.6667  0.4369
Au  0.6667  0.3333  0.0769

Properties
formation enthalpy at 0 K = -0.691 eV per atom
VASP energy = -3.65 eV per atom
symmetry = No. 164

No. 2
## TlReSi2 (PBE-GGA)

Data for an optimized crystal structure of TlReSi2.

a b c (Å): 6.2190 6.2190 6.2190
angles (deg): 154.84 132.02 54.94
Element x y z (fractional)
Re  0.7500  0.2500  0.5000
Si  0.9519  0.9519  0.0000
Tl  0.2500  0.7500  0.5000
Si  0.5481  0.5481  0.0000

Properties
energy above the lowest structure with this stoichiometry = 510 meV/atom
VASP energy = -5.74 eV per atom
symmetry = No. 71

No. 3
## KSc2Ni (PBE-GGA)

Data for an optimized crystal structure of KSc2Ni.

a b c (Å): 3.8301 3.8301 9.8626
angles (deg): 78.76 78.76 60.01
Element x y z (fractional)
Sc  0.0440  0.0440  0.8695
Ni  0.6670  0.6670  0.0001
Sc  0.2900  0.2900  0.1305
K  0.4990  0.4990  0.5000

Properties
formation enthalpy at 0 K = 0.053 eV per atom
energy above the lowest structure with this stoichiometry = 0 meV/atom
VASP energy = -4.83 eV per atom
symmetry = No. 8

No. 4
## Rb2TlInAu (PBE-GGA)

Data for an optimized crystal structure of Rb2TlInAu.

a b c (Å): 6.6129 6.6129 5.2711
angles (deg): 90.00 90.00 90.00
Element x y z (fractional)
Rb  0.0000  0.5000  0.0000
Au  0.0000  0.0000  0.0000
Tl  0.5000  0.5000  0.5000
Rb  0.5000  0.0000  0.0000
In  0.0000  0.0000  0.5000

Properties
formation enthalpy at 0 K = -0.005 eV per atom
VASP energy = -2.07 eV per atom
symmetry = No. 123